(1)
Below is a relaxed Tb3P4Pd7 crystal, with properties calculated at the PBE level.

E_form: -992 meV per atom

a = 15.4048 Å, b = 4.0185 Å, c = 9.4134 Å
α = 90.00°, β = 125.52°, γ = 90.00°
Space group C2/m (No. 12)
Inequivalent atoms, fractional coordinates:
Tb  0.0000  0.0000  0.0000
Tb  0.1802  0.5000  0.6775
P  0.1059  0.0000  0.8205
P  0.1594  0.5000  0.2542
Pd  0.0000  0.0000  0.5000
Pd  0.0097  0.5000  0.2837
Pd  0.1680  0.0000  0.4206
Pd  0.1948  0.5000  0.0301



(2)
Below is a relaxed Ho3GaSn3 crystal, with properties calculated at the PBE level.

E_form: -392 meV per atom

a = 8.6196 Å, b = 8.6196 Å, c = 5.5957 Å
α = 90.00°, β = 90.00°, γ = 120.00°
Space group P6_3/m (No. 176)
Inequivalent atoms, fractional coordinates:
Ho  0.0906  0.6406  0.2500
Ga  0.3333  0.6667  0.7500
Sn  0.0563  0.7976  0.7500



(3)
Below is a relaxed KCd2Ni crystal, with properties calculated at the PBE level.

E_form: 152 meV per atom
Relative energy among the computed polymorphs: 50.2 meV/atom

a = 3.2459 Å, b = 4.1486 Å, c = 7.9413 Å
α = 90.00°, β = 90.00°, γ = 90.00°
Space group Pmm2 (No. 25)
Inequivalent atoms, fractional coordinates:
K  0.0000  0.0000  0.0000
Cd  0.5000  0.0000  0.6119
Cd  0.5000  0.5000  0.3297
Ni  0.0000  0.5000  0.6057



no.,DFT total energy (eV for the cell shown)
1,-171.55
2,-63.03
3,-8.10